First-principles (GGA-PBE) data for a geometry-optimized YFe structure, as listed in Alexandria.

Summary:
* space-group type: P4_2/mnm
* E_tot: -0.517 Ry/atom
* volume: 180 Å³ per cell

Cell lengths 5.7017, 5.7017, 5.5308 Å; angles 90.00, 90.00, 90.00 degrees
Closest atoms and distances in Å follow each position.
Fractional coordinates of all 8 atoms:
Y  0.1944  0.1944  0.0000  4 Fe 2.72-2.79
Y  0.6944  0.3056  0.5000  4 Fe 2.72-2.79
Y  0.3056  0.6944  0.5000  4 Fe 2.72-2.79
Y  0.8056  0.8056  0.0000  4 Fe 2.72-2.79
Fe  0.3559  0.6441  0.0000  1 Fe 2.32
Fe  0.8559  0.8559  0.5000  1 Fe 2.32
Fe  0.1441  0.1441  0.5000  1 Fe 2.32
Fe  0.6441  0.3559  0.0000  1 Fe 2.32

First-principles (GGA-PBE) data for a geometry-optimized Y3Fe structure, as listed in Alexandria.

Summary:
* space-group type: P6_3/mmc
* E_tot: -0.490 Ry/atom
* volume: 419 Å³ per cell

Cell lengths 6.7500, 6.7500, 10.6308 Å; angles 90.00, 90.00, 120.00 degrees
Closest atoms and distances in Å follow each position.
Fractional coordinates of all 16 atoms:
Y  0.0000  0.5000  0.0000  4 Fe 3.30-3.38, 8 Y 3.32-3.38
Y  0.0000  0.5000  0.5000  4 Fe 3.30-3.38, 8 Y 3.32-3.38
Y  0.1587  0.3174  0.7500  8 Y 3.21-3.54, 4 Fe 3.24-3.38
Y  0.1587  0.8413  0.7500  8 Y 3.21-3.54, 4 Fe 3.24-3.38
Y  0.3174  0.1587  0.2500  8 Y 3.21-3.54, 4 Fe 3.24-3.38
Y  0.5000  0.0000  0.0000  4 Fe 3.30-3.38, 8 Y 3.32-3.38
Y  0.5000  0.0000  0.5000  4 Fe 3.30-3.38, 8 Y 3.32-3.38
Y  0.5000  0.5000  0.0000  4 Fe 3.30-3.38, 8 Y 3.32-3.38
Y  0.5000  0.5000  0.5000  4 Fe 3.30-3.38, 8 Y 3.32-3.38
Y  0.6826  0.8413  0.7500  8 Y 3.21-3.54, 4 Fe 3.24-3.38
Y  0.8413  0.1587  0.2500  8 Y 3.21-3.54, 4 Fe 3.24-3.38
Y  0.8413  0.6826  0.2500  8 Y 3.21-3.54, 4 Fe 3.24-3.38
Fe  0.0000  0.0000  0.0000  12 Y 3.24-3.38
Fe  0.0000  0.0000  0.5000  12 Y 3.24-3.38
Fe  0.3333  0.6667  0.2500  12 Y 3.30-3.38
Fe  0.6667  0.3333  0.7500  12 Y 3.30-3.38

| no. | magnetization (μB/atom) |
| --- | --- |
| 1 | 0.91 |
| 2 | 0.50 |